Compound: Zn4HgP
Source: Alexandria via LeMat-Bulk
Functional: PBE
Structure: relaxed

The structure belongs to space group F-43m (No. 216); the cell edges are 7.426, 7.426 and 7.426 Å and the angles 90.00°, 90.00° and 90.00°. Symmetry generates all atoms from Zn at (0.124, 0.124, 0.124), Hg at (0.000, 0.000, 0.500) and P at (0.250, 0.250, 0.750).

Its energy of formation from the pure elements is 286 meV per atom. For the calculated volume, the calculation gives 17.06 Å³/atom.